1.
Entry from Alexandria: a relaxed structure of YSc2SbC (PBE-GGA).

Cell: 5.4933 4.4433 5.4933 Å, 90.00 90.00 90.00°
Last column: magnetic moment on the atom in μB.
Element x y z (fractional)
Y: 0.5000 0.5000 0.5000  0.35
Sb: 0.0000 0.0000 0.0000  0.00
C: 0.0000 0.5000 0.0000  -0.01
Sc: 0.0000 0.0000 0.5000  0.36
Sc: 0.5000 0.0000 0.0000  0.30

Magnetic moment ... 0.372 μB/atom
Energy above the lowest structure with this stoichiometry ... 1773 meV per atom
E_form (uncorrected) ... 1.055 eV/atom
Volume ... 26.82 Å³/atom
VASP energy ... -5.439 eV per atom

---

2.
Entry from Alexandria: a relaxed structure of RbPmGe (PBE-GGA).

Cell: 5.4761 5.4761 7.8866 Å, 90.00 90.00 90.00°
Element x y z (fractional)
Rb: 0.5000 0.5000 0.5000
Rb: 0.0000 0.0000 0.5000
Pm: 0.5000 0.5000 0.0000
Pm: 0.0000 0.0000 0.0000
Ge: 0.5000 0.0000 0.8351
Ge: 0.0000 0.5000 0.1649

Magnetic moment ... 0.000 μB/atom
DFT formation energy ... -0.28 eV/atom
Volume ... 39.42 Å³/atom
VASP energy ... -3.720 eV per atom

---

3.
Entry from Alexandria: a relaxed structure of CsSrCu2Cl6 (PBE-GGA).

Cell: 8.8578 8.8578 9.1204 Å, 100.73 100.73 106.28°
Last column: magnetic moment on the atom in μB.
Element x y z (fractional)
Cs: 0.1467 0.8533 0.2500  0.00
Cs: 0.8533 0.1467 0.7500  0.00
Sr: 0.5644 0.4356 0.2500  0.00
Sr: 0.4356 0.5644 0.7500  0.00
Cu: 0.3757 0.1154 0.7283  0.31
Cu: 0.8846 0.6243 0.7717  0.31
Cu: 0.6243 0.8846 0.2717  0.31
Cu: 0.1154 0.3757 0.2283  0.31
Cl: 0.8967 0.4420 0.2019  0.06
Cl: 0.5580 0.1033 0.2981  0.06
Cl: 0.1033 0.5580 0.7981  0.06
Cl: 0.4420 0.8967 0.7019  0.06
Cl: 0.2124 0.2067 0.0996  0.04
Cl: 0.7933 0.7876 0.4004  0.04
Cl: 0.7876 0.7933 0.9004  0.04
Cl: 0.2067 0.2124 0.5996  0.04
Cl: 0.3311 0.5537 0.4128  0.06
Cl: 0.4463 0.6689 0.0872  0.06
Cl: 0.6689 0.4463 0.5872  0.06
Cl: 0.5537 0.3311 0.9128  0.06

Magnetic moment ... 0.102 μB/atom
E_form (uncorrected) ... -1.376 eV/atom
Volume ... 32.65 Å³/atom
VASP energy ... -3.557 eV per atom

---

4.
Entry from Alexandria: a relaxed structure of BSBrCl2 (PBE-GGA).

Cell: 4.0918 4.0918 5.5490 Å, 90.00 90.00 90.00°
Element x y z (fractional)
S: 0.0000 0.0000 0.5000
B: 0.0000 0.0000 0.0000
Br: 0.5000 0.5000 0.5000
Cl: 0.0000 0.5000 0.0000
Cl: 0.5000 0.0000 0.0000

Magnetic moment ... 0.000 μB/atom
Energy above the lowest structure with this stoichiometry ... 0 meV per atom
E_form (uncorrected) ... 0.582 eV/atom
Volume ... 18.58 Å³/atom
VASP energy ... -2.652 eV per atom

---

5.
Entry from Alexandria: a relaxed structure of Hf2CrCdH (PBE-GGA).

Cell: 4.6100 4.6100 3.5995 Å, 90.00 90.00 90.00°
Element x y z (fractional)
Cr: 0.0000 0.0000 0.5000
Hf: 0.0000 0.5000 0.0000
Hf: 0.5000 0.0000 0.0000
H: 0.0000 0.0000 0.0000
Cd: 0.5000 0.5000 0.5000

Magnetic moment ... 0.000 μB/atom
Volume ... 15.30 Å³/atom
VASP energy ... -6.727 eV per atom

---

6.
Entry from Alexandria: a relaxed structure of Tb3Pr2Tm7 (PBE-GGA).

Cell: 3.5037 6.3037 17.8297 Å, 75.67 90.00 90.00°
Element x y z (fractional)
Tb: 0.5000 0.5000 0.0000
Tb: 0.0000 0.1094 0.3424
Tb: 0.0000 0.8906 0.6576
Pr: 0.5000 0.6159 0.3253
Pr: 0.5000 0.3841 0.6747
Tm: 0.5000 0.2441 0.5003
Tm: 0.5000 0.7559 0.4997
Tm: 0.0000 0.5629 0.1618
Tm: 0.0000 0.0000 0.0000
Tm: 0.0000 0.4371 0.8382
Tm: 0.5000 0.9373 0.8352
Tm: 0.5000 0.0627 0.1648

Magnetic moment ... 0.000 μB/atom
Energy above the lowest structure with this stoichiometry ... 0 meV per atom
DFT formation energy ... 0.09 eV/atom
Volume ... 31.79 Å³/atom
VASP energy ... -4.473 eV per atom